# V2CoH4O8

A relaxed structure of V2CoH4O8 (PBE+U, Alexandria via LeMat-Bulk). Values from VASP.

Cell and atoms, written as Quantum ESPRESSO input:
```
&SYSTEM
  ibrav = 0, nat = 60, ntyp = 4
/
ATOMIC_SPECIES
V 50.94 V.upf
Co 58.93 Co.upf
H 1.01 H.upf
O 16.00 O.upf
ATOMIC_POSITIONS angstrom
V 1.072 0.329 2.083
V 1.072 5.095 2.083
V 1.774 5.754 8.042
V 1.774 10.520 8.042
V 3.917 0.329 3.876
V 3.917 5.095 3.876
V 4.620 5.754 9.835
V 4.620 10.520 9.835
Co 0.123 8.137 0.467
Co 2.723 2.712 6.426
Co 2.969 8.137 5.492
Co 5.569 2.712 11.451
H 0.292 8.137 5.058
H 0.624 1.931 4.782
H 0.624 3.493 4.782
H 0.913 8.137 3.566
H 1.932 2.712 9.525
H 2.221 8.917 10.741
H 2.221 7.356 10.741
H 2.553 2.712 11.017
H 3.138 8.137 0.901
H 3.470 1.931 1.177
H 3.470 3.493 1.177
H 3.759 8.137 2.392
H 4.778 2.712 8.351
H 5.067 7.356 7.136
H 5.067 8.917 7.136
H 5.399 2.712 6.860
O 5.663 0.760 3.481
O 5.663 4.665 3.481
O 0.623 1.248 0.769
O 0.623 4.176 0.769
O 0.842 2.712 5.350
O 0.917 6.734 1.730
O 0.917 9.539 1.730
O 1.117 8.137 4.521
O 1.729 2.712 10.480
O 1.929 1.310 7.689
O 1.929 4.115 7.689
O 2.004 8.137 11.309
O 2.223 9.601 6.728
O 2.223 6.673 6.728
O 2.875 10.089 9.440
O 2.875 6.184 9.440
O 2.817 0.760 2.478
O 2.817 4.665 2.478
O 3.468 1.248 5.190
O 3.468 4.176 5.190
O 3.688 2.712 0.609
O 3.762 6.734 4.229
O 3.762 9.539 4.229
O 3.963 8.137 1.438
O 4.575 2.712 7.397
O 4.775 1.310 10.188
O 4.775 4.115 10.188
O 4.850 8.137 6.568
O 5.069 6.673 11.149
O 5.069 9.601 11.149
O 0.029 6.184 8.437
O 0.029 10.089 8.437
CELL_PARAMETERS angstrom
5.692 0.000 0.000
0.000 10.849 0.000
0.000 0.000 11.918
```

Output
- Mass density: 2.64 g/cm3
- VASP energy: -378.2 eV for the cell shown
- Crystal system: orthorhombic